The following is a PBE+U calculation of a relaxed structure of NpMn2CdO8, from Alexandria.

## Properties
- Calculated total energy: -7.384 eV per atom
- Space group: Cmmm
- Total moment: 7.00 μB per cell
- Volume: 148.49 Å³/f.u.

a = 4.864 Å, b = 4.864 Å, c = 6.276 Å
α = 90.00°, β = 90.00°, γ = 90.29°
Positions (direct):
Np  0.000  0.000  0.000
Mn  0.500  0.500  0.255
Mn  0.500  0.500  0.745
Cd  0.000  0.000  0.500
O  0.208  0.792  0.223
O  0.208  0.792  0.777
O  0.312  0.312  0.000
O  0.328  0.328  0.500
O  0.672  0.672  0.500
O  0.688  0.688  0.000
O  0.792  0.208  0.223
O  0.792  0.208  0.777